A plane-wave DFT calculation with PBE was carried out for a relaxed structure of SmGdBe.

Summary:
N(E_F) = 3.18 states/eV/cell
Formation energy = 110 meV per atom
Size of the total moment = 7.5 Bohr magnetons per cell

a = 6.541 Å, b = 6.541 Å, c = 6.541 Å
α = 148.74°, β = 148.74°, γ = 44.79°
Fractional positions:
Sm 0.000 0.000 0.000
Gd 0.728 0.728 0.000
Be 0.361 0.361 0.000